{
  "formula": "Mg2Tl3Cl7",
  "functional": "PBE",
  "state": "optimized geometry",
  "vol_a3_per_atom": 27.05,
  "sg": "Cmmm",
  "total_magnetization_mub_per_cell": 0.00,
  "e_form_raw_ev_per_atom": -1.412,
  "e_tot_ev_per_atom": -3.35,
  "lattice": [[2.526, -12.951, 0.000], [2.526, 12.951, 0.000], [0.000, 0.000, 4.962]],
  "species": ["Mg", "Mg", "Tl", "Tl", "Tl", "Cl", "Cl", "Cl", "Cl", "Cl", "Cl", "Cl"],
  "fractional_positions": [[0.099, 0.901, 0.000], [0.901, 0.099, 0.000], [0.317, 0.683, 0.500], [0.500, 0.500, 0.500], [0.683, 0.317, 0.500], [0.000, 0.000, 0.000], [0.096, 0.904, 0.500], [0.194, 0.806, 0.000], [0.404, 0.596, 0.000], [0.596, 0.404, 0.000], [0.806, 0.194, 0.000], [0.904, 0.096, 0.500]]
}

=====

{
  "formula": "Nd4GeCl5",
  "functional": "PBE",
  "state": "optimized geometry",
  "vol_a3_per_atom": 30.77,
  "sg": "C2/m",
  "total_magnetization_mub_per_cell": 0.00,
  "e_form_raw_ev_per_atom": -1.754,
  "e_tot_ev_per_atom": -5.05,
  "lattice": [[9.132, -2.060, 0.000], [9.132, 2.060, 0.000], [-2.099, 0.000, 8.178]],
  "species": ["Nd", "Nd", "Nd", "Nd", "Ge", "Cl", "Cl", "Cl", "Cl", "Cl"],
  "fractional_positions": [[0.001, 0.001, 0.235], [0.343, 0.343, 0.908], [0.657, 0.657, 0.092], [0.999, 0.999, 0.765], [0.500, 0.500, 0.000], [0.166, 0.166, 0.329], [0.170, 0.170, 0.855], [0.500, 0.500, 0.500], [0.830, 0.830, 0.145], [0.834, 0.834, 0.671]]
}

=====

{
  "formula": "LaSc2Ir",
  "functional": "PBE",
  "state": "optimized geometry",
  "e_form_ev_per_atom": -0.34,
  "vol_a3_per_atom": 24.21,
  "sg": "P4mm",
  "total_magnetization_mub_per_cell": 0.00,
  "relative_energy_kj_per_mol_atoms": 14.9,
  "e_tot_ev_per_atom": -6.95,
  "lattice": [[3.626, 0.000, 0.000], [0.000, 3.626, 0.000], [0.000, 0.000, 7.365]],
  "species": ["La", "Sc", "Sc", "Ir"],
  "fractional_positions": [[0.000, 0.000, 0.000], [0.000, 0.000, 0.576], [0.500, 0.500, 0.325], [0.500, 0.500, 0.705]]
}

=====

{
  "formula": "RbGa2NiCl8",
  "functional": "PBE",
  "state": "optimized geometry",
  "vol_a3_per_atom": 27.81,
  "sg": "P-3",
  "total_magnetization_mub_per_cell": 1.00,
  "e_form_raw_ev_per_atom": -1.099,
  "e_tot_ev_per_atom": -3.40,
  "lattice": [[6.462, 0.000, 0.000], [-3.231, 5.596, 0.000], [0.000, 0.000, 9.229]],
  "species": ["Rb", "Ga", "Ga", "Ni", "Cl", "Cl", "Cl", "Cl", "Cl", "Cl", "Cl", "Cl"],
  "fractional_positions": [[0.000, 0.000, 0.000], [0.333, 0.667, 0.732], [0.667, 0.333, 0.268], [0.000, 0.000, 0.500], [0.022, 0.321, 0.662], [0.298, 0.978, 0.662], [0.321, 0.298, 0.338], [0.333, 0.667, 0.972], [0.667, 0.333, 0.028], [0.679, 0.702, 0.662], [0.702, 0.022, 0.338], [0.978, 0.679, 0.338]]
}

=====

{
  "formula": "K3Tm2TlO6",
  "functional": "PBE",
  "state": "optimized geometry",
  "vol_a3_per_atom": 16.04,
  "sg": "C2/m",
  "total_magnetization_mub_per_cell": 0.00,
  "e_form_raw_ev_per_atom": -2.210,
  "e_tot_ev_per_atom": -5.91,
  "lattice": [[2.978, -5.158, 0.000], [2.978, 5.158, 0.000], [-1.981, 0.000, 6.263]],
  "species": ["K", "K", "K", "Tm", "Tm", "Tl", "O", "O", "O", "O", "O", "O"],
  "fractional_positions": [[0.000, 0.000, 0.000], [0.337, 0.663, 0.000], [0.663, 0.337, 0.000], [0.167, 0.833, 0.500], [0.833, 0.167, 0.500], [0.500, 0.500, 0.500], [0.090, 0.437, 0.310], [0.217, 0.217, 0.689], [0.437, 0.090, 0.310], [0.563, 0.910, 0.690], [0.783, 0.783, 0.311], [0.910, 0.563, 0.690]]
}

=====

{
  "formula": "KZn2Si",
  "functional": "PBE",
  "state": "optimized geometry",
  "vol_a3_per_atom": 25.12,
  "sg": "R3m",
  "total_magnetization_mub_per_cell": 0.00,
  "e_form_raw_ev_per_atom": 0.101,
  "e_tot_ev_per_atom": -2.17,
  "lattice": [[2.157, 1.245, 6.233], [-2.157, 1.245, 6.233], [0.000, -2.491, 6.233]],
  "species": ["K", "Zn", "Zn", "Si"],
  "fractional_positions": [[0.000, 0.000, 0.000], [0.197, 0.197, 0.197], [0.468, 0.468, 0.468], [0.812, 0.812, 0.812]]
}

=====

{
  "formula": "HfTi2NbH",
  "functional": "PBE",
  "state": "optimized geometry",
  "vol_a3_per_atom": 15.30,
  "sg": "P4/mmm",
  "total_magnetization_mub_per_cell": 0.00,
  "relative_energy_kj_per_mol_atoms": 0.7,
  "e_tot_ev_per_atom": -7.87,
  "lattice": [[4.094, 0.000, 0.000], [0.000, 4.094, 0.000], [0.000, 0.000, 4.565]],
  "species": ["Hf", "Ti", "Ti", "Nb", "H"],
  "fractional_positions": [[0.000, 0.000, 0.000], [0.000, 0.500, 0.500], [0.500, 0.000, 0.500], [0.500, 0.500, 0.000], [0.500, 0.500, 0.500]]
}

=====

{
  "formula": "RbLiHg2Au",
  "functional": "PBE",
  "state": "optimized geometry",
  "e_form_ev_per_atom": -0.21,
  "vol_a3_per_atom": 29.17,
  "sg": "P4/mmm",
  "total_magnetization_mub_per_cell": 0.00,
  "relative_energy_kj_per_mol_atoms": 0.0,
  "e_tot_ev_per_atom": -1.56,
  "lattice": [[5.315, 0.000, 0.000], [0.000, 5.315, 0.000], [0.000, 0.000, 5.164]],
  "species": ["Rb", "Li", "Hg", "Hg", "Au"],
  "fractional_positions": [[0.000, 0.000, 0.000], [0.500, 0.500, 0.500], [0.000, 0.500, 0.500], [0.500, 0.000, 0.500], [0.500, 0.500, 0.000]]
}